## GdDy2Tl (GGA-PBE)

Data for crystalline GdDy2Tl at its relaxed geometry.

* magnetic moment: 8.5 μB per formula unit
* polymorph energy (0 for the lowest one): 0.151 eV per atom
* final energy: -103.38 eV for the cell shown
* crystal system: cubic

Structure (CIF):
```
data_GdDy2Tl
_chemical_formula_sum 'Gd4 Dy8 Tl4'
_cell_length_a 7.722
_cell_length_b 7.722
_cell_length_c 7.722
_cell_angle_alpha 90.00
_cell_angle_beta 90.00
_cell_angle_gamma 90.00
_symmetry_space_group_name_H-M 'F m -3 m'
_symmetry_Int_Tables_number 225
_symmetry_space_group_name_Hall '-F 4 2 3'
loop_
_atom_site_label
_atom_site_fract_x
_atom_site_fract_y
_atom_site_fract_z
Gd1 0.000 0.000 0.000
Dy1 0.250 0.250 0.250
Tl1 0.000 0.000 0.500
```

=====

## CdAsH (GGA-PBE)

Data for crystalline CdAsH at its relaxed geometry.

* magnetic moment: 0.0 μB per formula unit
* polymorph energy (0 for the lowest one): 0.023 eV per atom
* final energy: -17.65 eV for the cell shown
* crystal system: monoclinic

Structure (CIF):
```
data_CdAsH
_chemical_formula_sum 'Cd2 As2 H2'
_cell_length_a 4.598
_cell_length_b 7.577
_cell_length_c 4.599
_cell_angle_alpha 90.00
_cell_angle_beta 119.98
_cell_angle_gamma 90.00
_symmetry_space_group_name_H-M 'P 1 21 1'
_symmetry_Int_Tables_number 4
_symmetry_space_group_name_Hall 'P 2yb'
loop_
_atom_site_label
_atom_site_fract_x
_atom_site_fract_y
_atom_site_fract_z
Cd1 0.002 0.000 0.002
As1 0.336 0.018 0.669
H1 0.336 0.222 0.669
```

=====

## ScTiPb (GGA-PBE)

Data for crystalline ScTiPb at its relaxed geometry.

* magnetic moment: 2.0 μB per formula unit
* polymorph energy (0 for the lowest one): 0.297 eV per atom
* final energy: -17.89 eV for the cell shown
* crystal system: trigonal

Structure (CIF):
```
data_ScTiPb
_chemical_formula_sum 'Sc1 Ti1 Pb1'
_cell_length_a 4.8876
_cell_length_b 4.8876
_cell_length_c 3.2444
_cell_angle_alpha 90.00
_cell_angle_beta 90.00
_cell_angle_gamma 120.00
_symmetry_space_group_name_H-M 'P 3 m 1'
_symmetry_Int_Tables_number 156
_symmetry_space_group_name_Hall 'P 3 -2"'
loop_
_atom_site_label
_atom_site_fract_x
_atom_site_fract_y
_atom_site_fract_z
Sc1 0.0000 0.0000 0.0000
Ti1 0.6667 0.3333 0.5952
Pb1 0.3333 0.6667 0.3972
```

=====

## Sc2NiHg (GGA-PBE)

Data for crystalline Sc2NiHg at its relaxed geometry.

* magnetic moment: 1.0 μB per formula unit
* final energy: -19.68 eV for the cell shown
* crystal system: tetragonal

Structure (CIF):
```
data_Sc2NiHg
_chemical_formula_sum 'Sc2 Ni1 Hg1'
_cell_length_a 3.463
_cell_length_b 3.463
_cell_length_c 6.504
_cell_angle_alpha 90.00
_cell_angle_beta 90.00
_cell_angle_gamma 90.00
_symmetry_space_group_name_H-M 'P 4 m m'
_symmetry_Int_Tables_number 99
_symmetry_space_group_name_Hall 'P 4 -2'
loop_
_atom_site_label
_atom_site_fract_x
_atom_site_fract_y
_atom_site_fract_z
Sc1 0.000 0.000 0.000
Sc2 0.500 0.500 0.317
Ni1 0.500 0.500 0.828
Hg1 0.000 0.000 0.566
```

=====

## KSi4As (GGA-PBE)

Data for crystalline KSi4As at its relaxed geometry.

* magnetic moment: 0.0 μB per formula unit
* formation energy (no corrections): 49 kJ per mole of atoms
* final energy: -97.54 eV for the cell shown
* crystal system: cubic

Structure (CIF):
```
data_KSi4As
_chemical_formula_sum 'K4 Si16 As4'
_cell_length_a 7.638
_cell_length_b 7.638
_cell_length_c 7.638
_cell_angle_alpha 90.00
_cell_angle_beta 90.00
_cell_angle_gamma 90.00
_symmetry_space_group_name_H-M 'F -4 3 m'
_symmetry_Int_Tables_number 216
_symmetry_space_group_name_Hall 'F -4 2 3'
loop_
_atom_site_label
_atom_site_fract_x
_atom_site_fract_y
_atom_site_fract_z
K1 0.000 0.000 0.000
Si1 0.123 0.123 0.623
As1 0.250 0.250 0.250
```

=====

## Ho7InSi5 (GGA-PBE)

Data for crystalline Ho7InSi5 at its relaxed geometry.

* magnetic moment: 0.0 μB per formula unit
* formation energy (no corrections): -41 kJ per mole of atoms
* final energy: -134.77 eV for the cell shown
* crystal system: orthorhombic

Structure (CIF):
```
data_Ho7InSi5
_chemical_formula_sum 'Ho14 In2 Si10'
_cell_length_a 5.820
_cell_length_b 10.718
_cell_length_c 9.816
_cell_angle_alpha 90.00
_cell_angle_beta 90.00
_cell_angle_gamma 90.00
_symmetry_space_group_name_H-M 'I m m 2'
_symmetry_Int_Tables_number 44
_symmetry_space_group_name_Hall 'I 2 -2'
loop_
_atom_site_label
_atom_site_fract_x
_atom_site_fract_y
_atom_site_fract_z
Ho1 0.000 0.000 0.000
Ho2 0.000 0.000 0.368
Ho3 0.000 0.327 0.645
Ho4 0.000 0.333 0.093
Ho5 0.000 0.500 0.353
In1 0.000 0.000 0.682
Si1 0.000 0.500 0.865
Si2 0.214 0.259 0.375
```